VASP calculation (GGA-PBE) on a geometry-optimized Re2Os structure.

Computed properties:
DOS(E_F) (states/eV/f.u.): 2.1
Excess energy over the best structure of this formula in the dataset (meV per atom): 29
Space-group type: Cmcm
Magnetization (μB per formula unit): 0.000
Energy of formation from the pure elements (eV/atom): -0.0456
Calculated total energy (eV/cell): -72.5

Unit cell a=2.7751 b=7.3500 c=4.4121 alpha=90.00 beta=90.00 gamma=79.12
With the nearest neighbours (Å) after each atom.
Positions (direct):
Os 0.0009 0.9983 0.0000  6 Re 2.72-2.79, 6 Os 2.72-2.78
Os 0.5547 0.8906 0.5000  6 Re 2.72-2.79, 6 Os 2.72-2.78
Re 0.6647 0.6706 0.0000  4 Os 2.72-2.74, 8 Re 2.74-2.80
Re 0.3332 0.3337 0.0000  10 Re 2.72-2.80, 2 Os 2.79
Re 0.2224 0.5552 0.5000  10 Re 2.72-2.80, 2 Os 2.79
Re 0.8908 0.2183 0.5000  4 Os 2.72-2.74, 8 Re 2.74-2.80

=====

VASP calculation (GGA-PBE) on a geometry-optimized Pa2Fe2Sb structure.

Computed properties:
DOS(E_F) (states/eV/f.u.): 5.6
Space-group type: P4/mbm
Raw formation energy (meV/atom): -391
Magnetization (μB per formula unit): 0.000
Calculated total energy (eV/cell): -84.0

Unit cell a=3.5172 b=7.3062 c=7.3062 alpha=90.00 beta=90.00 gamma=90.00
With the nearest neighbours (Å) after each atom.
Positions (direct):
Pa 0.5000 0.1686 0.6686  6 Fe 2.68-2.84
Pa 0.5000 0.6686 0.8314  6 Fe 2.68-2.84
Pa 0.5000 0.8314 0.3314  6 Fe 2.68-2.84
Pa 0.5000 0.3314 0.1686  6 Fe 2.68-2.84
Fe 0.0000 0.3647 0.8647  6 Pa 2.68-2.84, 1 Fe 2.80, 2 Sb 2.84
Fe 0.0000 0.8647 0.6353  6 Pa 2.68-2.84, 1 Fe 2.80, 2 Sb 2.84
Fe 0.0000 0.6353 0.1353  6 Pa 2.68-2.84, 1 Fe 2.80, 2 Sb 2.84
Fe 0.0000 0.1353 0.3647  6 Pa 2.68-2.84, 1 Fe 2.80, 2 Sb 2.84
Sb 0.0000 0.0000 0.0000  4 Fe 2.84
Sb 0.0000 0.5000 0.5000  4 Fe 2.84

=====

VASP calculation (GGA-PBE) on a geometry-optimized ScZnMo structure.

Computed properties:
DOS(E_F) (states/eV/f.u.): 3.7
Excess energy over the best structure of this formula in the dataset (meV per atom): 492
Space-group type: F-43m
Magnetization (μB per formula unit): 0.002
Energy of formation from the pure elements (eV/atom): 0.5342
Calculated total energy (eV/cell): -16.8

Unit cell a=4.3450 b=4.3450 c=4.3450 alpha=60.00 beta=60.00 gamma=60.00
With the nearest neighbours (Å) after each atom.
Positions (direct):
Mo 0.0000 0.0000 0.0000  4 Zn 2.66
Sc 0.5000 0.5000 0.5000  4 Zn 2.66
Zn 0.7500 0.7500 0.7500  4 Sc 2.66, 4 Mo 2.66

=====

VASP calculation (GGA-PBE) on a geometry-optimized SrMnAl2 structure.

Computed properties:
DOS(E_F) (states/eV/f.u.): 2.7
Space-group type: P4/mmm
Magnetization (μB per formula unit): 4.014
Energy of formation from the pure elements (eV/atom): 0.2796
Calculated total energy (eV/cell): -17.2

Unit cell a=4.4035 b=4.4035 c=4.6402 alpha=90.00 beta=90.00 gamma=90.00
With the nearest neighbours (Å) after each atom.
Positions (direct):
Sr 0.0000 0.5000 0.5000  4 Mn 3.11, 8 Al 3.20
Mn 0.5000 0.0000 0.5000  4 Sr 3.11, 8 Al 3.20
Al 0.0000 0.0000 0.0000  4 Al 3.11, 4 Sr 3.20, 4 Mn 3.20
Al 0.5000 0.5000 0.0000  4 Al 3.11, 4 Sr 3.20, 4 Mn 3.20